This record from Alexandria via LeMat-Bulk describes a geometry-optimized TcAsIr2I structure. The functional is PBE.

Summary:
DOS(E_F) = 4.439 states/eV/cell
Raw formation energy = 2.075 eV per atom

Cell lengths 4.8620, 4.8620, 4.9127 Å; angles 90.00, 90.00, 90.00 degrees
Space group P4/mmm (No. 123)
One atom of each set of equivalent atoms:
Tc 0.0000 0.0000 0.0000 (multiplicity 1)
As 0.5000 0.5000 0.0000 (multiplicity 1)
Ir 0.0000 0.5000 0.5000 (multiplicity 2)
I 0.0000 0.0000 0.5000 (multiplicity 1)

=====

This record from Alexandria via LeMat-Bulk describes a geometry-optimized Er2SnSe4 structure. The functional is PBE.

Summary:
Raw formation energy = -1.418 eV per atom

Cell lengths 8.5070, 8.5070, 12.0014 Å; angles 90.00, 90.00, 90.00 degrees
Space group I4_1/amd (No. 141, origin choice 2)
One atom of each set of equivalent atoms:
Er 0.0000 0.0000 0.0000 (multiplicity 8)
Sn 0.0000 0.2500 0.3750 (multiplicity 4)
Se 0.0000 0.0255 0.7622 (multiplicity 16)

=====

This record from Alexandria via LeMat-Bulk describes a geometry-optimized CaLa3Nd4Te8 structure. The functional is PBE.

Summary:
DOS(E_F) = 30.505 states/eV/cell
Raw formation energy = -1.508 eV per atom

Cell lengths 9.0716, 9.0716, 22.1762 Å; angles 90.00, 90.00, 120.00 degrees
Space group R-3m (No. 166, hexagonal axes)
One atom of each set of equivalent atoms:
Ca 0.0000 0.0000 0.0000 (multiplicity 3)
La 0.0000 0.5000 0.0000 (multiplicity 9)
Nd 0.0000 0.0000 0.5000 (multiplicity 3)
Nd 0.0000 0.5000 0.5000 (multiplicity 9)
Te 0.0000 0.0000 0.2485 (multiplicity 6)
Te 0.0051 0.5026 0.7503 (multiplicity 18)

=====

This record from Alexandria via LeMat-Bulk describes a geometry-optimized Ti2NbTcTe structure. The functional is PBE.

Summary:
DOS(E_F) = 3.954 states/eV/cell
Raw formation energy = 0.479 eV per atom

Cell lengths 4.7263, 4.7263, 4.8664 Å; angles 90.00, 90.00, 90.00 degrees
Space group P4/mmm (No. 123)
One atom of each set of equivalent atoms:
Ti 0.0000 0.5000 0.0000 (multiplicity 2)
Nb 0.0000 0.0000 0.5000 (multiplicity 1)
Tc 0.0000 0.0000 0.0000 (multiplicity 1)
Te 0.5000 0.5000 0.5000 (multiplicity 1)

=====

This record from Alexandria via LeMat-Bulk describes a geometry-optimized Na3Ac12H5 structure. The functional is PBE.

Summary:
DOS(E_F) = 175.543 states/eV/cell
Raw total energy = -559.6 eV per cell

Cell lengths 17.5752, 17.5752, 17.5752 Å; angles 90.00, 90.00, 90.00 degrees
Space group Ia-3d (No. 230)
One atom of each set of equivalent atoms:
Na 0.0000 0.2500 0.1250 (multiplicity 24)
Ac 0.0442 0.0517 0.6489 (multiplicity 96)
H 0.0000 0.0000 0.0000 (multiplicity 16)
H 0.0000 0.2500 0.3750 (multiplicity 24)

=====

This record from Alexandria via LeMat-Bulk describes a geometry-optimized Hf5Hg3 structure. The functional is PBE.

Summary:
Energy relative to the elements = -0.1035 eV/atom
DOS(E_F) = 6.678 states/eV/cell

Cell lengths 3.2628, 3.2628, 16.2637 Å; angles 90.00, 90.00, 90.00 degrees
Space group P4/mmm (No. 123)
One atom of each set of equivalent atoms:
Hf 0.0000 0.0000 0.0000 (multiplicity 1)
Hf 0.0000 0.0000 0.2497 (multiplicity 2)
Hf 0.5000 0.5000 0.3744 (multiplicity 2)
Hg 0.0000 0.0000 0.5000 (multiplicity 1)
Hg 0.5000 0.5000 0.1232 (multiplicity 2)

=====

This record from Alexandria via LeMat-Bulk describes a geometry-optimized Ca2TaZn structure. The functional is PBE.

Summary:
Energy relative to the elements = 0.8384 eV/atom
DOS(E_F) = 19.463 states/eV/cell

Cell lengths 8.3095, 8.3095, 5.9434 Å; angles 90.00, 90.00, 90.00 degrees
Space group I-42d (No. 122)
One atom of each set of equivalent atoms:
Ca 0.2150 0.2500 0.1250 (multiplicity 8)
Ta 0.0000 0.0000 0.5000 (multiplicity 4)
Zn 0.0000 0.0000 0.0000 (multiplicity 4)

=====

This record from Alexandria via LeMat-Bulk describes a geometry-optimized Co4SiB structure. The functional is PBE.

Summary:
DOS(E_F) = 8.254 states/eV/cell
Raw formation energy = -0.106 eV per atom

Cell lengths 3.5464, 3.5464, 5.1854 Å; angles 90.00, 90.00, 90.00 degrees
Space group P4/mmm (No. 123)
One atom of each set of equivalent atoms:
Co 0.0000 0.5000 0.2255 (multiplicity 4)
Si 0.0000 0.0000 0.5000 (multiplicity 1)
B 0.5000 0.5000 0.0000 (multiplicity 1)